Entry from Alexandria via LeMat-Bulk: an optimized crystal structure of KGeWF2 (PBE+U).

Uncorrected energy   -3.93 eV/atom
Volume   23.4 A^3/atom
Symmetry   P4/mmm

a b c (Å): 4.681 4.681 5.340
angles (deg): 90.00 90.00 90.00
Atoms (fractional coordinates):
K: 0.000 0.000 0.000
Ge: 0.500 0.500 0.500
W: 0.500 0.500 0.000
F: 0.000 0.500 0.500
F: 0.500 0.000 0.500